(1)
ZnSbC2I | Alexandria via LeMat-Bulk | PBE | optimized geometry; formation energy (no corrections) = 1.9773 eV/atom; Fermi-level density of states = 2.13 states/eV/f.u.; DFT total energy = -15.51 eV/cell
1.0
4.2526 0.0000 0.0000
0.0000 6.6784 0.0000
0.0000 0.0000 4.2526
I Sb Zn C
1 1 1 2
direct
0.5000 0.5000 0.5000
0.0000 0.0000 0.0000
0.0000 0.5000 0.0000
0.0000 0.0000 0.5000
0.5000 0.0000 0.0000


(2)
NpTcSb | Alexandria via LeMat-Bulk | PBE | optimized geometry; formation energy (no corrections) = -0.0680 eV/atom; Fermi-level density of states = 4.21 states/eV/f.u.; polymorph energy (0 for the lowest one) = 0.00 kJ/mol of atoms; DFT total energy = -55.27 eV/cell
1.0
-0.7120 -3.2816 0.4521
5.5381 -1.5282 -2.3715
0.6180 2.3880 5.6106
Np Tc Sb
2 2 2
direct
0.8167 0.6275 0.6334
0.1833 0.3725 0.3666
0.5000 0.5000 0.0000
0.5000 0.0000 0.0000
0.8681 0.1651 0.7361
0.1319 0.8349 0.2639


(3)
CdSi2P | Alexandria via LeMat-Bulk | PBE | optimized geometry; formation energy (no corrections) = 0.3887 eV/atom; Fermi-level density of states = 1.41 states/eV/f.u.; polymorph energy (0 for the lowest one) = 32.42 kJ/mol of atoms; DFT total energy = -15.62 eV/cell
1.0
-0.0129 2.1201 2.3343
-2.6481 1.2601 -1.1591
-4.1943 -4.8142 4.3491
Cd P Si
1 1 2
direct
0.0000 0.0000 0.4964
0.5000 0.5000 0.8510
0.0000 0.0000 0.9807
0.5000 0.5000 0.1719


(4)
AlZn2Ni | Alexandria via LeMat-Bulk | PBE | optimized geometry; Fermi-level density of states = 0.83 states/eV/f.u.; energy of formation = -221 meV per atom; DFT total energy = -12.96 eV/cell
1.0
3.1989 0.0000 0.0000
0.0000 3.0370 0.0152
0.0000 3.0356 5.5803
Ni Zn Al
1 2 1
direct
0.5000 0.7616 0.7376
0.0000 0.0095 0.9906
0.5000 0.2550 0.2455
0.0000 0.4739 0.5263